Computed, not measured: crystalline YRe2Pt at its relaxed geometry at the PBE level of DFT.

Polymorph energy (0 for the lowest one): 96 meV per atom
Formation energy: -37 meV per atom
Space group: Pm (6)
Calculated total energy: -9.39 eV per atom

Unit cell a=2.9298 b=4.4655 c=5.5451 alpha=90.00 beta=100.93 gamma=90.00
Closest atoms and distances in Å follow each position.
Atoms (fractional coordinates):
Y: 0.0000 0.0000 0.0000  2 Re 2.74-3.04, 4 Pt 2.88, 2 Y 2.93
Re: 0.2678 0.5000 0.6380  2 Re 2.59, 2 Pt 2.75-2.87
Re: 0.6004 0.0000 0.5105  2 Re 2.59, 1 Y 2.74, 2 Pt 2.82
Pt: 0.5700 0.5000 0.1984  5 Re 2.75-3.07, 4 Y 2.88, 2 Pt 2.93

=====

Computed, not measured: crystalline Dy7Ho12Mg at its relaxed geometry at the PBE level of DFT.

Polymorph energy (0 for the lowest one): 0 meV per atom
Formation energy: 217 meV per atom
Space group: R-3 (148)
Calculated total energy: -4.22 eV per atom

Unit cell a=8.6307 b=8.6307 c=8.6307 alpha=86.56 beta=86.56 gamma=86.56
Closest atoms and distances in Å follow each position.
Atoms (fractional coordinates):
Dy: 0.0000 0.0000 0.0000  6 Ho 3.23
Dy: 0.1031 0.4267 0.3495  3 Dy 3.33-3.46, 6 Ho 3.44-3.72
Dy: 0.3495 0.1031 0.4267  3 Dy 3.33-3.46, 6 Ho 3.44-3.72
Dy: 0.4267 0.3495 0.1031  3 Dy 3.33-3.46, 6 Ho 3.44-3.72
Dy: 0.5733 0.6505 0.8969  3 Dy 3.33-3.46, 6 Ho 3.44-3.72
Dy: 0.6505 0.8969 0.5733  3 Dy 3.33-3.46, 6 Ho 3.44-3.72
Dy: 0.8969 0.5733 0.6505  3 Dy 3.33-3.46, 6 Ho 3.44-3.72
Ho: 0.0018 0.8831 0.3630  4 Ho 3.20-3.41, 2 Dy 3.23-3.44
Ho: 0.1169 0.6370 0.9982  4 Ho 3.20-3.41, 2 Dy 3.23-3.44
Ho: 0.2380 0.3560 0.7503  5 Ho 3.24-3.57, 1 Mg 3.28, 2 Dy 3.52-3.53
Ho: 0.2497 0.7620 0.6440  5 Ho 3.24-3.57, 1 Mg 3.28, 2 Dy 3.52-3.53
Ho: 0.3560 0.7503 0.2380  5 Ho 3.24-3.57, 1 Mg 3.28, 2 Dy 3.52-3.53
Ho: 0.3630 0.0018 0.8831  4 Ho 3.20-3.41, 2 Dy 3.23-3.44
Ho: 0.6370 0.9982 0.1169  4 Ho 3.20-3.41, 2 Dy 3.23-3.44
Ho: 0.6440 0.2497 0.7620  5 Ho 3.24-3.57, 1 Mg 3.28, 2 Dy 3.52-3.53
Ho: 0.7503 0.2380 0.3560  5 Ho 3.24-3.57, 1 Mg 3.28, 2 Dy 3.52-3.53
Ho: 0.7620 0.6440 0.2497  5 Ho 3.24-3.57, 1 Mg 3.28, 2 Dy 3.52-3.53
Ho: 0.8831 0.3630 0.0018  4 Ho 3.20-3.41, 2 Dy 3.23-3.44
Ho: 0.9982 0.1169 0.6370  4 Ho 3.20-3.41, 2 Dy 3.23-3.44
Mg: 0.5000 0.5000 0.5000  6 Ho 3.28

=====

Computed, not measured: crystalline MnAlSbI2 at its relaxed geometry at the PBE level of DFT.

Polymorph energy (0 for the lowest one): 189 meV per atom
Uncorrected formation energy: 0.517 eV/atom
Space group: P4/mmm (123)
Calculated total energy: -3.51 eV per atom

Unit cell a=5.4884 b=5.4884 c=5.5511 alpha=90.00 beta=90.00 gamma=90.00
Closest atoms and distances in Å follow each position.
Atoms (fractional coordinates):
Mn: 0.0000 0.0000 0.0000  4 Sb 3.88, 8 I 3.90
Al: 0.5000 0.5000 0.5000  4 I 2.74, 2 Sb 2.78
Sb: 0.5000 0.5000 0.0000  2 Al 2.78
I: 0.0000 0.5000 0.5000  2 Al 2.74
I: 0.5000 0.0000 0.5000  2 Al 2.74

=====

Computed, not measured: crystalline SrYAl at its relaxed geometry at the PBE level of DFT.

Polymorph energy (0 for the lowest one): 138 meV per atom
Formation energy: -73 meV per atom
Space group: Cmcm (63)
Calculated total energy: -4.04 eV per atom

Unit cell a=7.2648 b=7.2648 c=5.3537 alpha=90.00 beta=90.00 gamma=137.25
Closest atoms and distances in Å follow each position.
Atoms (fractional coordinates):
Sr: 0.0977 0.9023 0.7500  4 Al 3.33-3.40, 1 Y 3.66
Sr: 0.9023 0.0977 0.2500  4 Al 3.33-3.40, 1 Y 3.66
Y: 0.3685 0.6315 0.7500  4 Al 3.06-3.16
Y: 0.6315 0.3685 0.2500  4 Al 3.06-3.16
Al: 0.2445 0.7555 0.2500  4 Y 3.06-3.16, 4 Sr 3.33-3.40
Al: 0.7555 0.2445 0.7500  4 Y 3.06-3.16, 4 Sr 3.33-3.40

=====

Computed, not measured: crystalline IrPbAu at its relaxed geometry at the PBE level of DFT.

Polymorph energy (0 for the lowest one): 164 meV per atom
Formation energy: 469 meV per atom
Space group: I4mm (107)
Calculated total energy: -4.81 eV per atom

Unit cell a=6.0927 b=6.0927 c=6.0927 alpha=149.01 beta=149.01 gamma=44.40
Closest atoms and distances in Å follow each position.
Atoms (fractional coordinates):
Ir: 0.0000 0.0000 0.0000  4 Au 2.85, 4 Pb 2.89
Pb: 0.3447 0.3447 0.0000  4 Ir 2.89, 4 Au 3.18
Au: 0.6496 0.6496 0.0000  4 Ir 2.85, 4 Pb 3.18

=====

Computed, not measured: crystalline La2Pr3Nd5 at its relaxed geometry at the PBE level of DFT.

Polymorph energy (0 for the lowest one): 0 meV per atom
Formation energy: 156 meV per atom
Space group: C2/c (15)
Calculated total energy: -4.65 eV per atom

Unit cell a=10.3387 b=10.3387 c=9.2938 alpha=108.73 beta=108.73 gamma=114.98
Closest atoms and distances in Å follow each position.
Atoms (fractional coordinates):
La: 0.0212 0.2729 0.0437  2 Pr 3.14-3.44, 1 Nd 3.44
La: 0.2729 0.0212 0.5437  2 Pr 3.14-3.44, 1 Nd 3.44
La: 0.7271 0.9788 0.4563  2 Pr 3.14-3.44, 1 Nd 3.44
La: 0.9788 0.7271 0.9563  2 Pr 3.14-3.44, 1 Nd 3.44
Pr: 0.0265 0.9735 0.7500  1 Nd 3.39, 4 La 3.44-3.62, 2 Pr 3.64
Pr: 0.2322 0.4828 0.4646  1 La 3.14, 4 Nd 3.42-3.49
Pr: 0.4828 0.2322 0.9646  1 La 3.14, 4 Nd 3.42-3.49
Pr: 0.5172 0.7678 0.0354  1 La 3.14, 4 Nd 3.42-3.49
Pr: 0.7678 0.5172 0.5354  1 La 3.14, 4 Nd 3.42-3.49
Pr: 0.9735 0.0265 0.2500  1 Nd 3.39, 4 La 3.44-3.62, 2 Pr 3.64
Nd: 0.1247 0.3772 0.7503  3 Pr 3.49-3.86, 2 La 3.54-3.55, 3 Nd 3.84-3.87
Nd: 0.2209 0.7791 0.7500  5 Pr 3.39-3.62, 2 La 3.58
Nd: 0.2777 0.7223 0.2500  1 Nd 3.38, 4 La 3.44-3.59, 2 Pr 3.62
Nd: 0.3772 0.1247 0.2503  3 Pr 3.49-3.86, 2 La 3.54-3.55, 3 Nd 3.84-3.87
Nd: 0.4713 0.5287 0.2500  1 Nd 3.38, 4 Pr 3.43-3.62, 2 La 3.60
Nd: 0.5287 0.4713 0.7500  1 Nd 3.38, 4 Pr 3.43-3.62, 2 La 3.60
Nd: 0.6228 0.8753 0.7497  3 Pr 3.49-3.86, 2 La 3.54-3.55, 3 Nd 3.84-3.87
Nd: 0.7223 0.2777 0.7500  1 Nd 3.38, 4 La 3.44-3.59, 2 Pr 3.62
Nd: 0.7791 0.2209 0.2500  5 Pr 3.39-3.62, 2 La 3.58
Nd: 0.8753 0.6228 0.2497  3 Pr 3.49-3.86, 2 La 3.54-3.55, 3 Nd 3.84-3.87

=====

Computed, not measured: crystalline La3MnPd at its relaxed geometry at the PBE level of DFT.

Formation energy: 11 meV per atom
Space group: Pm-3m (221)
Calculated total energy: -5.82 eV per atom

Unit cell a=5.1773 b=5.1773 c=5.1773 alpha=90.00 beta=90.00 gamma=90.00
Closest atoms and distances in Å follow each position.
Atoms (fractional coordinates):
La: 0.0000 0.0000 0.5000  2 Mn 2.59
La: 0.0000 0.5000 0.0000  2 Mn 2.59
La: 0.5000 0.0000 0.0000  2 Mn 2.59
Mn: 0.0000 0.0000 0.0000  6 La 2.59
Pd: 0.5000 0.5000 0.5000  12 La 3.66

=====

Computed, not measured: crystalline TcSnHRh2 at its relaxed geometry at the PBE level of DFT.

Space group: P4/mmm (123)
Calculated total energy: -6.56 eV per atom

Unit cell a=3.9852 b=3.9852 c=4.1028 alpha=90.00 beta=90.00 gamma=90.00
Closest atoms and distances in Å follow each position.
Atoms (fractional coordinates):
Tc: 0.0000 0.0000 0.0000  2 H 2.05
Sn: 0.5000 0.5000 0.0000  4 Tc 2.82, 8 Rh 2.86
H: 0.0000 0.0000 0.5000  4 Rh 1.99, 2 Tc 2.05
Rh: 0.0000 0.5000 0.5000  2 H 1.99
Rh: 0.5000 0.0000 0.5000  2 H 1.99

=====

Computed, not measured: crystalline ScTcBIr2 at its relaxed geometry at the PBE level of DFT.

Polymorph energy (0 for the lowest one): 0 meV per atom
Formation energy: -493 meV per atom
Space group: P4/mmm (123)
Calculated total energy: -8.71 eV per atom

Unit cell a=4.1197 b=4.1197 c=4.2222 alpha=90.00 beta=90.00 gamma=90.00
Closest atoms and distances in Å follow each position.
Atoms (fractional coordinates):
Sc: 0.0000 0.0000 0.0000  4 Tc 2.91, 8 Ir 2.95
Tc: 0.5000 0.5000 0.0000  2 B 2.11
B: 0.5000 0.5000 0.5000  4 Ir 2.06, 2 Tc 2.11
Ir: 0.0000 0.5000 0.5000  2 B 2.06
Ir: 0.5000 0.0000 0.5000  2 B 2.06

=====

Computed, not measured: crystalline Li2NiMo at its relaxed geometry at the PBE level of DFT.

Polymorph energy (0 for the lowest one): 40 meV per atom
Formation energy: 195 meV per atom
Space group: Pmm2 (25)
Calculated total energy: -4.92 eV per atom

Unit cell a=2.5627 b=3.8386 c=5.6882 alpha=90.00 beta=90.00 gamma=90.00
Closest atoms and distances in Å follow each position.
Atoms (fractional coordinates):
Li: 0.0000 0.0000 0.0000  6 Li 2.56-2.65, 1 Mo 2.64, 4 Ni 2.79
Li: 0.5000 0.5000 0.2289  6 Li 2.56-2.65, 1 Ni 2.81
Ni: 0.5000 0.5000 0.7230  4 Mo 2.54, 2 Ni 2.56, 5 Li 2.79-2.81
Mo: 0.0000 0.0000 0.5363  4 Ni 2.54, 2 Mo 2.56, 1 Li 2.64

=====

Computed, not measured: crystalline SiH3I at its relaxed geometry at the PBE level of DFT.

Polymorph energy (0 for the lowest one): 11 meV per atom
Space group: R-3m (166)
Calculated total energy: -3.51 eV per atom

Unit cell a=6.2496 b=6.2496 c=6.2496 alpha=74.37 beta=74.37 gamma=74.37
Closest atoms and distances in Å follow each position.
Atoms (fractional coordinates):
Si: 0.1703 0.1703 0.1703  3 H 1.49
Si: 0.8297 0.8297 0.8297  3 H 1.49
H: 0.0807 0.7558 0.7558  1 Si 1.49
H: 0.2442 0.2442 0.9193  1 Si 1.49
H: 0.2442 0.9193 0.2442  1 Si 1.49
H: 0.7558 0.0807 0.7558  1 Si 1.49
H: 0.7558 0.7558 0.0807  1 Si 1.49
H: 0.9193 0.2442 0.2442  1 Si 1.49
I: 0.3534 0.3534 0.3534  1 Si 2.46
I: 0.6466 0.6466 0.6466  1 Si 2.46

=====

Computed, not measured: crystalline Ni3Sb at its relaxed geometry at the PBE level of DFT.

Polymorph energy (0 for the lowest one): 200 meV per atom
Uncorrected formation energy: 0.048 eV/atom
Space group: Pmmm (47)
Calculated total energy: -5.32 eV per atom

Unit cell a=3.0867 b=3.4002 c=5.1520 alpha=90.00 beta=90.00 gamma=90.00
Closest atoms and distances in Å follow each position.
Atoms (fractional coordinates):
Ni: 0.0000 0.0000 0.0000  2 Sb 2.58, 8 Ni 2.60
Ni: 0.5000 0.5000 0.2371  6 Ni 2.44-2.71, 4 Sb 2.67
Ni: 0.5000 0.5000 0.7629  6 Ni 2.44-2.71, 4 Sb 2.67
Sb: 0.0000 0.0000 0.5000  10 Ni 2.58-2.67